# 1
LiNbCoN3 after structural relaxation, computed with PBE.

Lattice parameters (Å, degrees): 3.134 6.067 8.474 106.87 90.00 90.00
Atoms (fractional coordinates):
N1 0.250 0.576 0.884
N2 0.250 0.081 0.842
N3 0.750 0.424 0.116
Nb1 0.750 0.316 0.870
Li1 0.750 0.821 0.861
Co1 0.250 0.044 0.609
Nb2 0.250 0.684 0.130
N4 0.750 0.919 0.158
Co2 0.750 0.956 0.391
N5 0.750 0.189 0.588
Li2 0.250 0.179 0.139
N6 0.250 0.811 0.412

Summary:
The calculation puts the total magnetization at 0.00 μB/cell. Its energy relative to the elements, uncorrected is -0.38 eV per atom. For the theoretical density, the calculation gives 4.33 g/cm³.

---

# 2
LiCo2NiN after structural relaxation, computed with PBE.

Lattice parameters (Å, degrees): 3.635 3.635 3.849 90.00 90.00 90.00
Each line ends with the local moment (μB).
Atoms (fractional coordinates):
Ni1 0.500 0.500 0.500  0.64
N1 0.000 0.000 0.000  0.07
Li1 0.000 0.000 0.500  -0.01
Co1 0.000 0.500 0.000  0.93
Co2 0.500 0.000 0.000  0.93

Summary:
The energy above the most stable polymorph in this dataset comes out at 0.25 eV per formula unit. The calculation puts the total magnetization at 2.47 μB/cell. Its energy relative to the elements, uncorrected is -0.02 eV per atom. For the theoretical density, the calculation gives 6.45 g/cm³.